# ZrZnIn4 GGA-PBE relaxed
data_ZrZnIn4
_chemical_formula_sum 'Zr4 Zn4 In16'
_symmetry_space_group_name_H-M 'F -4 3 m'
_symmetry_Int_Tables_number 216
_symmetry_space_group_name_Hall 'F -4 2 3'
_cell_length_a 8.337
_cell_length_b 8.337
_cell_length_c 8.337
_cell_angle_alpha 90.00
_cell_angle_beta 90.00
_cell_angle_gamma 90.00
loop_
_atom_site_label
_atom_site_type_symbol
_atom_site_fract_x
_atom_site_fract_y
_atom_site_fract_z
_atom_site_occupancy
Zr1 Zr 0.000 0.000 0.000 1
Zn1 Zn 0.250 0.250 0.250 1
In1 In 0.125 0.125 0.625 1
# V, Å³ per atom: 24.1
# Formation enthalpy at 0 K, eV per atom: 0.2649


# Zr4Zn3In GGA-PBE relaxed
data_Zr4Zn3In
_chemical_formula_sum 'Zr4 Zn3 In1'
_symmetry_space_group_name_H-M 'P 4/m m m'
_symmetry_Int_Tables_number 123
_symmetry_space_group_name_Hall '-P 4 2'
_cell_length_a 3.147
_cell_length_b 3.147
_cell_length_c 15.775
_cell_angle_alpha 90.00
_cell_angle_beta 90.00
_cell_angle_gamma 90.00
loop_
_atom_site_label
_atom_site_type_symbol
_atom_site_fract_x
_atom_site_fract_y
_atom_site_fract_z
_atom_site_occupancy
Zr1 Zr 0.000 0.000 0.119 1
Zr2 Zr 0.000 0.000 0.359 1
Zn1 Zn 0.500 0.500 0.000 1
Zn2 Zn 0.500 0.500 0.239 1
In1 In 0.500 0.500 0.500 1
# V, Å³ per atom: 19.5
# Formation enthalpy at 0 K, eV per atom: -0.2679


# Zr2ZnIn4 GGA-PBE relaxed
data_Zr2ZnIn4
_chemical_formula_sum 'Zr4 Zn2 In8'
_symmetry_space_group_name_H-M 'I -4 2 m'
_symmetry_Int_Tables_number 121
_symmetry_space_group_name_Hall 'I -4 2'
_cell_length_a 6.167
_cell_length_b 6.167
_cell_length_c 8.504
_cell_angle_alpha 90.00
_cell_angle_beta 90.00
_cell_angle_gamma 90.00
loop_
_atom_site_label
_atom_site_type_symbol
_atom_site_fract_x
_atom_site_fract_y
_atom_site_fract_z
_atom_site_occupancy
Zr1 Zr 0.000 0.500 0.000 1
Zn1 Zn 0.000 0.000 0.000 1
In1 In 0.249 0.249 0.750 1
# V, Å³ per atom: 23.1
# Formation enthalpy at 0 K, eV per atom: -0.1465


# Zr6ZnIn GGA-PBE relaxed
data_Zr6ZnIn
_chemical_formula_sum 'Zr6 Zn1 In1'
_symmetry_space_group_name_H-M 'P 4/m m m'
_symmetry_Int_Tables_number 123
_symmetry_space_group_name_Hall '-P 4 2'
_cell_length_a 4.425
_cell_length_b 4.425
_cell_length_c 8.817
_cell_angle_alpha 90.00
_cell_angle_beta 90.00
_cell_angle_gamma 90.00
loop_
_atom_site_label
_atom_site_type_symbol
_atom_site_fract_x
_atom_site_fract_y
_atom_site_fract_z
_atom_site_occupancy
Zr1 Zr 0.000 0.000 0.000 1
Zr2 Zr 0.000 0.000 0.500 1
Zr3 Zr 0.000 0.500 0.243 1
Zn1 Zn 0.500 0.500 0.000 1
In1 In 0.500 0.500 0.500 1
# Offset from the most stable computed form, eV/atom: 0.000
# V, Å³ per atom: 21.6
# Formation enthalpy at 0 K, eV per atom: -0.1887


# Zr2Zn3In GGA-PBE relaxed
data_Zr2Zn3In
_chemical_formula_sum 'Zr16 Zn24 In8'
_symmetry_space_group_name_H-M 'F m m m'
_symmetry_Int_Tables_number 69
_symmetry_space_group_name_Hall '-F 2 2'
_cell_length_a 6.500
_cell_length_b 8.932
_cell_length_c 15.448
_cell_angle_alpha 90.00
_cell_angle_beta 90.00
_cell_angle_gamma 90.00
loop_
_atom_site_label
_atom_site_type_symbol
_atom_site_fract_x
_atom_site_fract_y
_atom_site_fract_z
_atom_site_occupancy
Zr1 Zr 0.244 0.000 0.000 1
Zr2 Zr 0.250 0.250 0.250 1
Zn1 Zn 0.000 0.000 0.162 1
Zn2 Zn 0.000 0.243 0.081 1
In1 In 0.000 0.000 0.334 1
# Offset from the most stable computed form, eV/atom: 0.000
# V, Å³ per atom: 18.7
# Formation enthalpy at 0 K, eV per atom: -0.2759


# ZrZnIn GGA-PBE relaxed
data_ZrZnIn
_chemical_formula_sum 'Zr4 Zn4 In4'
_symmetry_space_group_name_H-M 'F -4 3 m'
_symmetry_Int_Tables_number 216
_symmetry_space_group_name_Hall 'F -4 2 3'
_cell_length_a 6.369
_cell_length_b 6.369
_cell_length_c 6.369
_cell_angle_alpha 90.00
_cell_angle_beta 90.00
_cell_angle_gamma 90.00
loop_
_atom_site_label
_atom_site_type_symbol
_atom_site_fract_x
_atom_site_fract_y
_atom_site_fract_z
_atom_site_occupancy
Zr1 Zr 0.000 0.000 0.000 1
Zn1 Zn 0.250 0.250 0.750 1
In1 In 0.000 0.000 0.500 1
# V, Å³ per atom: 21.5
# Formation enthalpy at 0 K, eV per atom: -0.0665


# Zr12Zn6In GGA-PBE relaxed
data_Zr12Zn6In
_chemical_formula_sum 'Zr24 Zn12 In2'
_symmetry_space_group_name_H-M 'I m -3'
_symmetry_Int_Tables_number 204
_symmetry_space_group_name_Hall '-I 2 2 3'
_cell_length_a 9.255
_cell_length_b 9.255
_cell_length_c 9.255
_cell_angle_alpha 90.00
_cell_angle_beta 90.00
_cell_angle_gamma 90.00
loop_
_atom_site_label
_atom_site_type_symbol
_atom_site_fract_x
_atom_site_fract_y
_atom_site_fract_z
_atom_site_occupancy
Zr1 Zr 0.000 0.187 0.273 1
Zn1 Zn 0.000 0.369 0.500 1
In1 In 0.000 0.000 0.000 1
# V, Å³ per atom: 20.9
# Formation enthalpy at 0 K, eV per atom: -0.0751


# Zr6ZnIn GGA-PBE relaxed
data_Zr6ZnIn
_chemical_formula_sum 'Zr18 Zn3 In3'
_symmetry_space_group_name_H-M 'R -3'
_symmetry_Int_Tables_number 148
_symmetry_space_group_name_Hall '-R 3'
_cell_length_a 7.8927
_cell_length_b 7.8927
_cell_length_c 9.6689
_cell_angle_alpha 90.00
_cell_angle_beta 90.00
_cell_angle_gamma 120.00
loop_
_atom_site_label
_atom_site_type_symbol
_atom_site_fract_x
_atom_site_fract_y
_atom_site_fract_z
_atom_site_occupancy
Zr1 Zr 0.0025 0.7514 0.2505 1
Zn1 Zn 0.0000 0.0000 0.5000 1
In1 In 0.0000 0.0000 0.0000 1
# Offset from the most stable computed form, eV/atom: 0.015
# V, Å³ per atom: 21.7
# Formation enthalpy at 0 K, eV per atom: -0.1738